Below is a geometry-optimized HoLuGaPb structure, with properties calculated at the GGA-PBE level.

Geometry as POSCAR:
```
HoLuGaPb
1.0
0.000 3.692 3.692
3.692 0.000 3.692
3.692 3.692 0.000
Ho Lu Ga Pb
1 1 1 1
Direct
0.000 0.000 0.000 Ho
0.500 0.500 0.500 Lu
0.250 0.250 0.250 Ga
0.750 0.750 0.750 Pb
```

Calculated values
- D(E_F): 3.52 states/eV/f.u.
- Formation energy from the elements: -0.381 eV per atom
- Total DFT energy (no corrections): -4.34 eV per atom
- Space group: F-43m, No. 216